[1]
Below is crystalline Pm8P6S at its relaxed geometry, with properties calculated at the PBE-GGA level.

Cell: 4.293 10.432 10.432 Å, 120.00 90.00 90.00°
Positions (direct):
Pm  0.740  0.967  0.308
Pm  0.740  0.692  0.660
Pm  0.740  0.340  0.033
Pm  0.260  0.033  0.692
Pm  0.260  0.308  0.340
Pm  0.260  0.660  0.967
Pm  0.747  0.333  0.667
Pm  0.253  0.667  0.333
P  0.758  0.657  0.134
P  0.758  0.866  0.524
P  0.758  0.476  0.343
P  0.242  0.343  0.866
P  0.242  0.134  0.476
P  0.242  0.524  0.657
S  0.500  0.000  0.000

Output
formation energy from raw total energies	-1.2340	eV/atom
space group	P-3, No. 147
M_tot	0.00	μB per formula unit
total DFT energy (no corrections)	-6.21	eV/atom
N(E_F)	9.29	states/eV per cell

[2]
Below is crystalline Pm6P2S3 at its relaxed geometry, with properties calculated at the PBE-GGA level.

Cell: 6.876 6.887 6.887 Å, 120.00 90.00 90.00°
Positions (direct):
Pm  0.744  0.336  0.336
Pm  0.744  0.000  0.664
Pm  0.744  0.664  0.000
Pm  0.256  0.664  0.664
Pm  0.256  0.000  0.336
Pm  0.256  0.336  0.000
P  0.500  0.333  0.667
P  0.500  0.667  0.333
S  0.000  0.667  0.333
S  0.000  0.333  0.667
S  0.500  0.000  0.000

Output
formation energy from raw total energies	-1.6432	eV/atom
space group	P-31m, No. 162
M_tot	0.00	μB per formula unit
total DFT energy (no corrections)	-6.34	eV/atom
N(E_F)	5.73	states/eV per cell

[3]
Below is crystalline Pm5P2S2 at its relaxed geometry, with properties calculated at the PBE-GGA level.

Cell: 7.682 7.619 8.169 Å, 117.80 90.00 90.00°
Positions (direct):
Pm  0.000  0.000  0.000
Pm  0.500  0.500  0.000
Pm  0.846  0.796  0.272
Pm  0.154  0.476  0.272
Pm  0.346  0.976  0.272
Pm  0.654  0.296  0.272
Pm  0.154  0.204  0.728
Pm  0.846  0.524  0.728
Pm  0.654  0.024  0.728
Pm  0.346  0.704  0.728
P  0.644  0.855  0.000
P  0.356  0.145  0.000
P  0.144  0.645  0.000
P  0.856  0.355  0.000
S  0.000  0.196  0.391
S  0.500  0.696  0.391
S  0.000  0.804  0.609
S  0.500  0.304  0.609

Output
formation energy from raw total energies	-1.4598	eV/atom
space group	Cmce, No. 64
M_tot	0.00	μB per formula unit
total DFT energy (no corrections)	-6.22	eV/atom
N(E_F)	14.49	states/eV per cell

[4]
Below is crystalline Pm5P4S at its relaxed geometry, with properties calculated at the PBE-GGA level.

Cell: 5.818 7.127 7.127 Å, 80.41 65.91 65.91°
Positions (direct):
Pm  0.900  0.405  0.799
Pm  0.304  0.799  0.595
Pm  0.698  0.201  0.405
Pm  0.103  0.595  0.201
Pm  0.501  0.000  0.000
P  0.401  0.399  0.801
P  0.800  0.801  0.601
P  0.202  0.199  0.399
P  0.601  0.601  0.199
S  0.001  0.000  0.000

Output
formation energy from raw total energies	-1.7108	eV/atom
space group	I4/m, No. 87
M_tot	0.00	μB per formula unit
total DFT energy (no corrections)	-6.66	eV/atom
N(E_F)	2.25	states/eV per cell

[5]
Below is crystalline PmPS4 at its relaxed geometry, with properties calculated at the PBE-GGA level.

Cell: 7.394 7.394 7.394 Å, 76.04 76.04 121.16°
Positions (direct):
Pm  0.875  0.625  0.250
Pm  0.125  0.375  0.750
P  0.625  0.875  0.750
P  0.375  0.125  0.250
S  0.270  0.694  0.924
S  0.619  0.694  0.576
S  0.194  0.119  0.076
S  0.730  0.306  0.076
S  0.194  0.770  0.424
S  0.806  0.881  0.924
S  0.381  0.306  0.424
S  0.806  0.230  0.576

Output
formation energy from raw total energies	-0.9450	eV/atom
space group	I4_1/amd, No. 141
M_tot	0.00	μB per formula unit
total DFT energy (no corrections)	-5.39	eV/atom

[6]
Below is crystalline Pm3PS6 at its relaxed geometry, with properties calculated at the PBE-GGA level.

Cell: 7.181 8.544 8.544 Å, 101.89 90.00 90.00°
Positions (direct):
Pm  0.474  0.914  0.712
Pm  0.974  0.712  0.914
Pm  0.409  0.398  0.602
Pm  0.909  0.602  0.398
Pm  0.974  0.086  0.288
Pm  0.474  0.288  0.086
P  0.061  0.185  0.815
P  0.561  0.815  0.185
S  0.191  0.684  0.641
S  0.691  0.641  0.684
S  0.188  0.414  0.901
S  0.688  0.901  0.414
S  0.198  0.035  0.965
S  0.612  0.218  0.782
S  0.112  0.782  0.218
S  0.698  0.965  0.035
S  0.188  0.099  0.586
S  0.688  0.586  0.099
S  0.191  0.359  0.316
S  0.691  0.316  0.359

Output
formation energy from raw total energies	-1.5426	eV/atom
space group	Cmc2_1, No. 36
M_tot	0.00	μB per formula unit
total DFT energy (no corrections)	-5.99	eV/atom
N(E_F)	0.00	states/eV per cell

[7]
Below is crystalline PmPS4 at its relaxed geometry, with properties calculated at the PBE-GGA level.

Cell: 6.442 6.442 5.772 Å, 123.92 123.92 90.00°
Positions (direct):
Pm  0.750  0.250  0.500
P  0.500  0.500  0.000
S  0.400  0.788  0.276
S  0.877  0.488  0.276
S  0.212  0.123  0.724
S  0.512  0.600  0.724

Output
formation energy from raw total energies	-0.8939	eV/atom
space group	I-4, No. 82
M_tot	0.00	μB per formula unit
total DFT energy (no corrections)	-5.34	eV/atom
N(E_F)	0.00	states/eV per cell

[8]
Below is crystalline Pm7P5S at its relaxed geometry, with properties calculated at the PBE-GGA level.

Cell: 4.081 7.095 24.099 Å, 90.03 90.00 106.71°
Positions (direct):
Pm  0.451  0.903  0.250
Pm  0.549  0.098  0.750
Pm  0.638  0.276  0.036
Pm  0.363  0.726  0.964
Pm  0.363  0.726  0.536
Pm  0.638  0.275  0.464
Pm  0.180  0.360  0.176
Pm  0.820  0.641  0.824
Pm  0.821  0.641  0.676
Pm  0.180  0.360  0.324
Pm  0.914  0.828  0.104
Pm  0.087  0.174  0.896
Pm  0.087  0.174  0.604
Pm  0.913  0.827  0.396
P  0.000  0.001  0.000
P  0.727  0.454  0.925
P  0.274  0.548  0.075
P  0.546  0.092  0.353
P  0.454  0.909  0.647
P  0.000  0.000  0.500
P  0.273  0.547  0.425
P  0.727  0.454  0.575
P  0.454  0.908  0.853
P  0.547  0.093  0.147
S  0.799  0.598  0.251
S  0.202  0.404  0.750

Output
formation energy from raw total energies	-1.4904	eV/atom
space group	C2/m, No. 12
M_tot	0.00	μB per formula unit
total DFT energy (no corrections)	-6.45	eV/atom
N(E_F)	11.37	states/eV per cell

[9]
Below is crystalline Pm7PS5 at its relaxed geometry, with properties calculated at the PBE-GGA level.

Cell: 3.980 6.917 23.971 Å, 89.99 90.00 106.79°
Positions (direct):
Pm  0.463  0.925  0.248
Pm  0.538  0.076  0.748
Pm  0.652  0.303  0.038
Pm  0.376  0.751  0.963
Pm  0.349  0.698  0.538
Pm  0.625  0.250  0.463
Pm  0.203  0.406  0.179
Pm  0.817  0.633  0.821
Pm  0.797  0.595  0.679
Pm  0.184  0.368  0.321
Pm  0.929  0.858  0.106
Pm  0.103  0.206  0.883
Pm  0.072  0.143  0.606
Pm  0.898  0.796  0.383
P  0.808  0.615  0.264
P  0.193  0.386  0.764
S  0.016  0.032  0.998
S  0.736  0.472  0.928
S  0.289  0.578  0.072
S  0.541  0.082  0.355
S  0.437  0.873  0.645
S  0.985  0.970  0.498
S  0.265  0.530  0.428
S  0.712  0.423  0.572
S  0.460  0.919  0.855
S  0.564  0.128  0.145

Output
formation energy from raw total energies	-1.7837	eV/atom
space group	P2_1, No. 4
M_tot	0.00	μB per formula unit
total DFT energy (no corrections)	-6.35	eV/atom
N(E_F)	13.88	states/eV per cell

[10]
Below is crystalline Pm6P5S at its relaxed geometry, with properties calculated at the PBE-GGA level.

Cell: 7.136 7.134 7.130 Å, 59.98 80.41 70.56°
Positions (direct):
P  0.500  0.166  0.668
P  0.000  0.333  0.334
P  0.500  0.500  0.000
P  0.000  0.667  0.666
P  0.500  0.834  0.332
S  0.000  0.000  0.000
Pm  0.748  0.084  0.336
Pm  0.252  0.580  0.336
Pm  0.253  0.252  0.000
Pm  0.747  0.748  0.000
Pm  0.748  0.420  0.664
Pm  0.252  0.916  0.664

Output
formation energy from raw total energies	-1.6899	eV/atom
space group	C2/m, No. 12
M_tot	0.00	μB per formula unit
total DFT energy (no corrections)	-6.66	eV/atom
N(E_F)	2.52	states/eV per cell

[11]
Below is crystalline PmPS3 at its relaxed geometry, with properties calculated at the PBE-GGA level.

Cell: 5.768 8.443 9.130 Å, 90.00 90.85 90.00°
Positions (direct):
Pm  0.931  0.632  0.251
Pm  0.569  0.132  0.249
Pm  0.069  0.368  0.749
Pm  0.431  0.868  0.751
P  0.469  0.617  0.056
P  0.031  0.117  0.444
P  0.531  0.383  0.944
P  0.969  0.883  0.556
S  0.128  0.651  0.578
S  0.372  0.151  0.922
S  0.872  0.349  0.422
S  0.628  0.849  0.078
S  0.906  0.980  0.763
S  0.594  0.480  0.737
S  0.094  0.020  0.237
S  0.406  0.520  0.263
S  0.652  0.829  0.452
S  0.848  0.329  0.048
S  0.348  0.171  0.548
S  0.152  0.671  0.952

Output
formation energy from raw total energies	-0.9868	eV/atom
space group	P2_1/c, No. 14
M_tot	0.00	μB per formula unit
total DFT energy (no corrections)	-5.50	eV/atom

[12]
Below is crystalline Pm6Sb3P2S at its relaxed geometry, with properties calculated at the PBE-GGA level.

Cell: 4.278 8.639 9.631 Å, 103.63 102.83 90.00°
Positions (direct):
Pm  0.337  0.902  0.673
Pm  0.672  0.570  0.344
Pm  0.663  0.098  0.327
Pm  0.006  0.242  0.012
Pm  0.994  0.758  0.988
Pm  0.328  0.430  0.656
Sb  0.500  0.500  0.000
Sb  0.834  0.166  0.669
Sb  0.166  0.834  0.331
P  0.834  0.668  0.668
P  0.166  0.332  0.332
S  0.500  0.000  0.000

Output
formation energy from raw total energies	-1.4383	eV/atom
space group	C2/m, No. 12
M_tot	0.00	μB per formula unit
total DFT energy (no corrections)	-6.09	eV/atom
N(E_F)	2.22	states/eV per cell

[13]
Below is crystalline Pm4Sb2PS at its relaxed geometry, with properties calculated at the PBE-GGA level.

Cell: 4.278 7.474 7.401 Å, 70.77 90.00 90.00°
Positions (direct):
Pm  0.000  0.729  0.753
Pm  0.000  0.271  0.247
Pm  0.500  0.728  0.260
Pm  0.500  0.272  0.740
Sb  0.000  0.000  0.000
Sb  0.500  0.000  0.500
P  0.000  0.500  0.500
S  0.500  0.500  0.000

Output
formation energy from raw total energies	-1.4795	eV/atom
space group	P2/m, No. 10
M_tot	0.00	μB per formula unit
total DFT energy (no corrections)	-6.08	eV/atom
N(E_F)	1.57	states/eV per cell

[14]
Below is crystalline Pm4PSe2S at its relaxed geometry, with properties calculated at the PBE-GGA level.

Cell: 4.113 7.122 7.272 Å, 109.03 90.00 90.00°
Positions (direct):
Pm  0.500  0.247  0.229
Pm  0.500  0.753  0.771
Pm  0.000  0.260  0.772
Pm  0.000  0.740  0.228
P  0.500  0.500  0.000
Se  0.500  0.000  0.500
Se  0.000  0.500  0.500
S  0.000  0.000  0.000

Output
formation energy from raw total energies	-1.8779	eV/atom
space group	P2/m, No. 10
M_tot	0.00	μB per formula unit
total DFT energy (no corrections)	-6.32	eV/atom
N(E_F)	3.06	states/eV per cell

[15]
Below is crystalline Pm8P3Se3S at its relaxed geometry, with properties calculated at the PBE-GGA level.

Cell: 8.223 8.223 8.319 Å, 119.62 90.00 120.00°
Positions (direct):
Pm  0.257  0.513  0.270
Pm  0.743  0.487  0.730
Pm  0.755  0.510  0.267
Pm  0.245  0.490  0.733
Pm  0.755  0.012  0.268
Pm  0.245  0.988  0.732
Pm  0.257  0.012  0.268
Pm  0.743  0.988  0.732
P  0.500  0.000  0.500
P  0.500  0.500  0.500
P  0.000  0.500  0.500
Se  0.000  0.000  0.000
Se  0.000  0.500  0.000
Se  0.500  0.500  0.000
S  0.000  0.000  0.500

Output
formation energy from raw total energies	-1.6783	eV/atom
space group	R-3m, No. 166
M_tot	0.00	μB per formula unit
total DFT energy (no corrections)	-6.27	eV/atom
N(E_F)	5.43	states/eV per cell

[16]
Below is crystalline Pm6P3Se2S at its relaxed geometry, with properties calculated at the PBE-GGA level.

Cell: 4.126 8.321 9.293 Å, 103.70 102.83 90.00°
Positions (direct):
Pm  0.332  0.928  0.664
Pm  0.662  0.595  0.324
Pm  0.668  0.072  0.336
Pm  0.996  0.253  0.991
Pm  0.004  0.747  0.009
Pm  0.338  0.405  0.676
P  0.500  0.500  0.000
P  0.833  0.166  0.665
P  0.167  0.834  0.335
Se  0.834  0.666  0.667
Se  0.166  0.334  0.333
S  0.500  0.000  0.000

Output
formation energy from raw total energies	-1.8107	eV/atom
space group	C2/m, No. 12
M_tot	0.00	μB per formula unit
total DFT energy (no corrections)	-6.46	eV/atom
N(E_F)	4.35	states/eV per cell

[17]
Below is crystalline Pm6PSe2S3 at its relaxed geometry, with properties calculated at the PBE-GGA level.

Cell: 4.083 8.263 9.176 Å, 102.74 102.85 90.00°
Positions (direct):
Pm  0.337  0.930  0.674
Pm  0.660  0.596  0.321
Pm  0.663  0.070  0.326
Pm  0.997  0.243  0.993
Pm  0.003  0.757  0.007
Pm  0.340  0.404  0.679
P  0.500  0.000  0.000
Se  0.832  0.663  0.663
Se  0.168  0.337  0.337
S  0.500  0.500  0.000
S  0.832  0.165  0.663
S  0.168  0.835  0.337

Output
formation energy from raw total energies	-1.9219	eV/atom
space group	C2/m, No. 12
M_tot	0.00	μB per formula unit
total DFT energy (no corrections)	-6.36	eV/atom
N(E_F)	4.04	states/eV per cell

[18]
Below is crystalline Pm6P2Se3S at its relaxed geometry, with properties calculated at the PBE-GGA level.

Cell: 4.125 8.358 9.330 Å, 104.06 102.77 90.00°
Positions (direct):
Pm  0.336  0.903  0.672
Pm  0.672  0.572  0.344
Pm  0.664  0.097  0.328
Pm  0.006  0.242  0.012
Pm  0.994  0.758  0.988
Pm  0.328  0.428  0.656
P  0.834  0.668  0.668
P  0.166  0.332  0.332
Se  0.500  0.500  0.000
Se  0.834  0.166  0.669
Se  0.166  0.834  0.331
S  0.500  0.000  0.000

Output
formation energy from raw total energies	-1.8496	eV/atom
space group	C2/m, No. 12
M_tot	0.00	μB per formula unit
total DFT energy (no corrections)	-6.34	eV/atom
N(E_F)	4.38	states/eV per cell

[19]
Below is crystalline Pm8P3SeS4 at its relaxed geometry, with properties calculated at the PBE-GGA level.

Cell: 8.203 8.179 8.203 Å, 120.10 120.00 90.00°
Positions (direct):
Pm  0.255  0.748  0.993
Pm  0.255  0.748  0.510
Pm  0.253  0.258  0.505
Pm  0.738  0.748  0.993
Pm  0.262  0.252  0.007
Pm  0.747  0.742  0.495
Pm  0.745  0.252  0.490
Pm  0.745  0.252  0.007
P  0.500  0.500  0.000
P  0.500  0.500  0.500
P  0.000  0.500  0.500
Se  0.000  0.500  0.000
S  0.500  0.000  0.000
S  0.500  0.000  0.500
S  0.000  0.000  0.000
S  0.000  0.000  0.500

Output
formation energy from raw total energies	-1.8876	eV/atom
space group	R-3m, No. 166
M_tot	0.00	μB per formula unit
total DFT energy (no corrections)	-6.53	eV/atom
N(E_F)	6.55	states/eV per cell